Arrangement a

Compound: TlZn2Te
Source: Alexandria
Functional: PBE
Structure: relaxed

```
data_TlZn2Te
_chemical_formula_sum 'Tl2 Zn4 Te2'
_space_group_name_H-M_alt 'C 1 2/m 1'
_space_group_IT_number 12
_cell_length_a 7.0831
_cell_length_b 4.1619
_cell_length_c 7.2988
_cell_angle_alpha 90.00
_cell_angle_beta 109.78
_cell_angle_gamma 90.00
loop_
_space_group_symop_operation_xyz
'x,y,z'
'-x,-y,-z'
'-x,y,-z'
'x,-y,z'
'x+1/2,y+1/2,z'
'-x+1/2,-y+1/2,-z'
'-x+1/2,y+1/2,-z'
'x+1/2,-y+1/2,z'
loop_
_atom_site_label
_atom_site_type_symbol
_atom_site_fract_x
_atom_site_fract_y
_atom_site_fract_z
Tl1 Tl 0.0000 0.0000 0.0000
Zn1 Zn 0.2429 0.0000 0.7263
Te1 Te 0.0000 0.5000 0.5000
```

Calculated values
Total moment   0.00 μB/f.u.
Volume   202.5 Å³ per cell


Arrangement b

Compound: TlZn2Te
Source: Alexandria
Functional: PBE
Structure: relaxed

```
data_TlZn2Te
_chemical_formula_sum 'Tl2 Zn4 Te2'
_space_group_name_H-M_alt 'C 1 m 1'
_space_group_IT_number 8
_cell_length_a 7.3032
_cell_length_b 4.2919
_cell_length_c 7.0841
_cell_angle_alpha 90.00
_cell_angle_beta 110.98
_cell_angle_gamma 90.00
loop_
_space_group_symop_operation_xyz
'x,y,z'
'x,-y,z'
'x+1/2,y+1/2,z'
'x+1/2,-y+1/2,z'
loop_
_atom_site_label
_atom_site_type_symbol
_atom_site_fract_x
_atom_site_fract_y
_atom_site_fract_z
Tl1 Tl 0.0000 0.0000 0.0000
Zn1 Zn 0.0202 0.5000 0.5596
Zn2 Zn 0.2446 0.0000 0.7311
Te1 Te 0.2846 0.5000 0.3566
```

Calculated values
Total moment   0.00 μB/f.u.
Volume   207.3 Å³ per cell


Arrangement c

Compound: TlZn2Te
Source: Alexandria
Functional: PBE
Structure: relaxed

```
data_TlZn2Te
_chemical_formula_sum 'Tl2 Zn4 Te2'
_space_group_name_H-M_alt 'I m m 2'
_space_group_IT_number 44
_cell_length_a 3.9937
_cell_length_b 4.0492
_cell_length_c 12.5439
_cell_angle_alpha 90.00
_cell_angle_beta 90.00
_cell_angle_gamma 90.00
loop_
_space_group_symop_operation_xyz
'x,y,z'
'-x,-y,z'
'-x,y,z'
'x,-y,z'
'x+1/2,y+1/2,z+1/2'
'-x+1/2,-y+1/2,z+1/2'
'-x+1/2,y+1/2,z+1/2'
'x+1/2,-y+1/2,z+1/2'
loop_
_atom_site_label
_atom_site_type_symbol
_atom_site_fract_x
_atom_site_fract_y
_atom_site_fract_z
Tl1 Tl 0.0000 0.0000 0.0000
Zn1 Zn 0.0000 0.0000 0.4127
Zn2 Zn 0.0000 0.5000 0.7617
Te1 Te 0.0000 0.5000 0.2174
```

Calculated values
Total moment   0.00 μB/f.u.
Volume   202.9 Å³ per cell


Arrangement d

Compound: TlZn2Te
Source: Alexandria
Functional: PBE
Structure: relaxed

```
data_TlZn2Te
_chemical_formula_sum 'Tl4 Zn8 Te4'
_space_group_name_H-M_alt 'F m -3 m'
_space_group_IT_number 225
_space_group_name_Hall '-F 4 2 3'
_cell_length_a 7.3624
_cell_length_b 7.3624
_cell_length_c 7.3624
_cell_angle_alpha 90.00
_cell_angle_beta 90.00
_cell_angle_gamma 90.00
loop_
_atom_site_label
_atom_site_type_symbol
_atom_site_fract_x
_atom_site_fract_y
_atom_site_fract_z
Tl1 Tl 0.0000 0.0000 0.0000
Zn1 Zn 0.2500 0.2500 0.2500
Te1 Te 0.0000 0.0000 0.5000
```

Calculated values
Total moment   0.00 μB/f.u.
Volume   399.1 Å³ per cell


Most stable of them? arrangement b.


Arrangement a

Compound: TlZn2Te2
Source: Alexandria
Functional: PBE
Structure: relaxed

```
data_TlZn2Te2
_chemical_formula_sum 'Tl2 Zn4 Te4'
_space_group_name_H-M_alt 'I 4/m m m'
_space_group_IT_number 139
_space_group_name_Hall '-I 4 2'
_cell_length_a 4.3955
_cell_length_b 4.3955
_cell_length_c 14.8984
_cell_angle_alpha 90.00
_cell_angle_beta 90.00
_cell_angle_gamma 90.00
loop_
_atom_site_label
_atom_site_type_symbol
_atom_site_fract_x
_atom_site_fract_y
_atom_site_fract_z
Tl1 Tl 0.0000 0.0000 0.0000
Zn1 Zn 0.0000 0.5000 0.2500
Te1 Te 0.0000 0.0000 0.3636
```

Calculated values
Total moment   0.00 μB/f.u.
Volume   287.8 Å³ per cell


Arrangement b

Compound: TlZn2Te2
Source: Alexandria
Functional: PBE
Structure: relaxed

```
data_TlZn2Te2
_chemical_formula_sum 'Tl2 Zn4 Te4'
_space_group_name_H-M_alt 'I 4/m m m'
_space_group_IT_number 139
_space_group_name_Hall '-I 4 2'
_cell_length_a 5.2489
_cell_length_b 5.2489
_cell_length_c 9.9132
_cell_angle_alpha 90.00
_cell_angle_beta 90.00
_cell_angle_gamma 90.00
loop_
_atom_site_label
_atom_site_type_symbol
_atom_site_fract_x
_atom_site_fract_y
_atom_site_fract_z
Tl1 Tl 0.0000 0.0000 0.0000
Zn1 Zn 0.0000 0.0000 0.3757
Te1 Te 0.0000 0.5000 0.2500
```

Calculated values
Total moment   0.00 μB/f.u.
Volume   273.1 Å³ per cell


Most stable of them? arrangement a.


Arrangement a

Compound: ZrTl2Te
Source: Alexandria
Functional: PBE
Structure: relaxed

```
data_ZrTl2Te
_chemical_formula_sum 'Zr2 Tl4 Te2'
_space_group_name_H-M_alt 'I -4 m 2'
_space_group_IT_number 119
_space_group_name_Hall 'I -4 -2'
_cell_length_a 4.6527
_cell_length_b 4.6527
_cell_length_c 9.6374
_cell_angle_alpha 90.00
_cell_angle_beta 90.00
_cell_angle_gamma 90.00
loop_
_atom_site_label
_atom_site_type_symbol
_atom_site_fract_x
_atom_site_fract_y
_atom_site_fract_z
Zr1 Zr 0.0000 0.0000 0.0000
Tl1 Tl 0.0000 0.0000 0.5000
Tl2 Tl 0.0000 0.5000 0.2500
Te1 Te 0.0000 0.5000 0.7500
```

Calculated values
Total moment   0.00 μB/f.u.
Volume   208.6 Å³ per cell


Arrangement b

Compound: ZrTl2Te
Source: Alexandria
Functional: PBE
Structure: relaxed

```
data_ZrTl2Te
_chemical_formula_sum 'Zr2 Tl4 Te2'
_space_group_name_H-M_alt 'C m m m'
_space_group_IT_number 65
_space_group_name_Hall '-C 2 2'
_cell_length_a 6.7945
_cell_length_b 9.7499
_cell_length_c 3.1825
_cell_angle_alpha 90.00
_cell_angle_beta 90.00
_cell_angle_gamma 90.00
loop_
_atom_site_label
_atom_site_type_symbol
_atom_site_fract_x
_atom_site_fract_y
_atom_site_fract_z
Zr1 Zr 0.0000 0.0000 0.0000
Tl1 Tl 0.2500 0.2500 0.5000
Te1 Te 0.0000 0.5000 0.0000
```

Calculated values
Total moment   0.00 μB/f.u.
Volume   210.8 Å³ per cell


Arrangement c

Compound: ZrTl2Te
Source: Alexandria
Functional: PBE
Structure: relaxed

```
data_ZrTl2Te
_chemical_formula_sum 'Zr2 Tl4 Te2'
_space_group_name_H-M_alt 'I 4/m m m'
_space_group_IT_number 139
_space_group_name_Hall '-I 4 2'
_cell_length_a 4.3327
_cell_length_b 4.3327
_cell_length_c 11.2856
_cell_angle_alpha 90.00
_cell_angle_beta 90.00
_cell_angle_gamma 90.00
loop_
_atom_site_label
_atom_site_type_symbol
_atom_site_fract_x
_atom_site_fract_y
_atom_site_fract_z
Zr1 Zr 0.0000 0.0000 0.0000
Tl1 Tl 0.0000 0.5000 0.2500
Te1 Te 0.0000 0.0000 0.5000
```

Calculated values
Total moment   0.00 μB/f.u.
Volume   211.9 Å³ per cell


Arrangement d

Compound: ZrTl2Te
Source: Alexandria
Functional: PBE
Structure: relaxed

```
data_ZrTl2Te
_chemical_formula_sum 'Zr2 Tl4 Te2'
_space_group_name_H-M_alt 'C 1 m 1'
_space_group_IT_number 8
_cell_length_a 10.8596
_cell_length_b 3.6398
_cell_length_c 5.5493
_cell_angle_alpha 90.00
_cell_angle_beta 96.65
_cell_angle_gamma 90.00
loop_
_space_group_symop_operation_xyz
'x,y,z'
'x,-y,z'
'x+1/2,y+1/2,z'
'x+1/2,-y+1/2,z'
loop_
_atom_site_label
_atom_site_type_symbol
_atom_site_fract_x
_atom_site_fract_y
_atom_site_fract_z
Zr1 Zr 0.0000 0.0000 0.0000
Tl1 Tl 0.0295 0.5000 0.5225
Tl2 Tl 0.2779 0.5000 0.3268
Te1 Te 0.2885 0.0000 0.8609
```

Calculated values
Total moment   0.00 μB/f.u.
Volume   217.9 Å³ per cell


Most stable of them? arrangement d.


Arrangement a

Compound: ZrTl2Te
Source: Alexandria
Functional: PBE
Structure: relaxed

```
data_ZrTl2Te
_chemical_formula_sum 'Zr1 Tl2 Te1'
_space_group_name_H-M_alt 'P 4/m m m'
_space_group_IT_number 123
_space_group_name_Hall '-P 4 2'
_cell_length_a 4.7410
_cell_length_b 4.7410
_cell_length_c 4.6901
_cell_angle_alpha 90.00
_cell_angle_beta 90.00
_cell_angle_gamma 90.00
loop_
_atom_site_label
_atom_site_type_symbol
_atom_site_fract_x
_atom_site_fract_y
_atom_site_fract_z
Zr1 Zr 0.0000 0.0000 0.0000
Tl1 Tl 0.0000 0.5000 0.5000
Te1 Te 0.5000 0.5000 0.0000
```

Calculated values
Total moment   0.00 μB/f.u.
Volume   105.4 Å³ per cell


Arrangement b

Compound: ZrTl2Te
Source: Alexandria
Functional: PBE
Structure: relaxed

```
data_ZrTl2Te
_chemical_formula_sum 'Zr1 Tl2 Te1'
_space_group_name_H-M_alt 'P 1 2/m 1'
_space_group_IT_number 10
_cell_length_a 3.5026
_cell_length_b 5.6257
_cell_length_c 5.8203
_cell_angle_alpha 90.00
_cell_angle_beta 107.24
_cell_angle_gamma 90.00
loop_
_space_group_symop_operation_xyz
'x,y,z'
'-x,-y,-z'
'-x,y,-z'
'x,-y,z'
loop_
_atom_site_label
_atom_site_type_symbol
_atom_site_fract_x
_atom_site_fract_y
_atom_site_fract_z
Zr1 Zr 0.0000 0.0000 0.0000
Tl1 Tl 0.3959 0.5000 0.2316
Te1 Te 0.0000 0.0000 0.5000
```

Calculated values
Total moment   0.00 μB/f.u.
Volume   109.5 Å³ per cell


Arrangement c

Compound: ZrTl2Te
Source: Alexandria
Functional: PBE
Structure: relaxed

```
data_ZrTl2Te
_chemical_formula_sum 'Zr4 Tl8 Te4'
_space_group_name_H-M_alt 'F m -3 m'
_space_group_IT_number 225
_space_group_name_Hall '-F 4 2 3'
_cell_length_a 7.6277
_cell_length_b 7.6277
_cell_length_c 7.6277
_cell_angle_alpha 90.00
_cell_angle_beta 90.00
_cell_angle_gamma 90.00
loop_
_atom_site_label
_atom_site_type_symbol
_atom_site_fract_x
_atom_site_fract_y
_atom_site_fract_z
Zr1 Zr 0.0000 0.0000 0.0000
Tl1 Tl 0.2500 0.2500 0.2500
Te1 Te 0.0000 0.0000 0.5000
```

Calculated values
Total moment   1.51 μB/f.u.
Volume   443.8 Å³ per cell


Arrangement d

Compound: ZrTl2Te
Source: Alexandria
Functional: PBE
Structure: relaxed

```
data_ZrTl2Te
_chemical_formula_sum 'Zr2 Tl4 Te2'
_space_group_name_H-M_alt 'I m m m'
_space_group_IT_number 71
_space_group_name_Hall '-I 2 2'
_cell_length_a 3.4250
_cell_length_b 4.6801
_cell_length_c 15.1735
_cell_angle_alpha 90.00
_cell_angle_beta 90.00
_cell_angle_gamma 90.00
loop_
_atom_site_label
_atom_site_type_symbol
_atom_site_fract_x
_atom_site_fract_y
_atom_site_fract_z
Zr1 Zr 0.0000 0.0000 0.0000
Tl1 Tl 0.0000 0.5000 0.3126
Te1 Te 0.0000 0.0000 0.5000
```

Calculated values
Total moment   0.00 μB/f.u.
Volume   243.2 Å³ per cell


Most stable of them? arrangement d.